Entry 1:
meta-GGA SCAN CsInP2O7, PBEsol geometry; formation energy (no corrections) = -2431 meV per atom; raw total energy = -14.76 eV/atom; symmetry = P2_1/c, No. 14
1.0
7.722 0.000 0.000
0.000 10.450 0.000
-2.219 0.000 8.355
Cs In P O
4 4 8 28
Direct
0.191 0.192 0.048
0.191 0.308 0.548
0.809 0.692 0.452
0.809 0.808 0.952
0.238 0.601 0.258
0.238 0.899 0.758
0.762 0.101 0.242
0.762 0.399 0.742
0.132 0.594 0.829
0.132 0.906 0.329
0.429 0.631 0.684
0.429 0.869 0.184
0.571 0.131 0.816
0.571 0.369 0.316
0.868 0.094 0.671
0.868 0.406 0.171
0.003 0.003 0.228
0.003 0.497 0.728
0.082 0.729 0.763
0.082 0.771 0.263
0.148 0.583 0.006
0.148 0.917 0.506
0.318 0.601 0.516
0.318 0.899 0.016
0.328 0.559 0.804
0.328 0.941 0.304
0.382 0.074 0.773
0.382 0.426 0.273
0.445 0.727 0.228
0.445 0.773 0.728
0.555 0.227 0.272
0.555 0.273 0.772
0.618 0.574 0.727
0.618 0.926 0.227
0.672 0.059 0.696
0.672 0.441 0.196
0.682 0.101 0.984
0.682 0.399 0.484
0.852 0.083 0.494
0.852 0.417 0.994
0.918 0.229 0.737
0.918 0.271 0.237
0.997 0.503 0.272
0.997 0.997 0.772

=====

Entry 2:
meta-GGA SCAN CsInTe3O8, PBEsol geometry; formation energy (no corrections) = -1406 meV per atom; raw total energy = -19.31 eV/atom; symmetry = P-1, No. 2
1.0
5.811 0.000 0.000
2.602 7.309 0.000
0.066 2.315 10.933
Cs In Te O
2 2 6 16
Direct
0.157 0.117 0.336
0.843 0.883 0.664
0.000 0.500 0.000
0.500 0.500 0.500
0.063 0.339 0.649
0.225 0.010 0.919
0.481 0.540 0.157
0.519 0.460 0.843
0.775 0.990 0.081
0.937 0.661 0.351
0.114 0.956 0.106
0.178 0.730 0.422
0.202 0.257 0.927
0.243 0.083 0.732
0.255 0.628 0.912
0.259 0.334 0.513
0.261 0.407 0.159
0.383 0.552 0.679
0.617 0.448 0.321
0.739 0.593 0.841
0.741 0.666 0.487
0.745 0.372 0.088
0.757 0.917 0.268
0.798 0.743 0.073
0.822 0.270 0.578
0.886 0.044 0.894

=====

Question: What is the formula in the first record?
Answer: CsInP2O7